The following is a DFT calculation (PBE-GGA) of a relaxed structure of ScMo.

Properties
The calculation puts the final energy at -8.61 eV per atom. For the calculated formation energy, the calculation gives -0.024 eV/atom. Its crystal system is tetragonal. The calculation puts the energy above the most stable polymorph in this dataset at 0.000 eV per formula unit. The total magnetization is 0.0 μB per formula unit.

Cell lengths 3.221, 3.221, 7.541 Å; angles 90.00, 90.00, 90.00 degrees
Fractional coordinates of all 4 atoms:
Sc: 0.000 0.000 0.453
Sc: 0.500 0.500 0.797
Mo: 0.000 0.000 0.032
Mo: 0.500 0.500 0.218

The following is a DFT calculation (PBE-GGA) of a relaxed structure of Y2TeMoAs.

Properties
The calculation puts the final energy at -6.14 eV per atom. Its crystal system is tetragonal. The calculation puts the energy above the most stable polymorph in this dataset at 1.533 eV per formula unit. The total magnetization is 0.0 μB per formula unit. The calculation puts the formation energy (no corrections) at 16.2 kJ/mol of atoms.

Cell lengths 5.434, 4.950, 5.434 Å; angles 90.00, 90.00, 90.00 degrees
Fractional coordinates of all 5 atoms:
Y: 0.000 0.000 0.500
Y: 0.500 0.000 0.000
Mo: 0.000 0.000 0.000
Te: 0.000 0.500 0.000
As: 0.500 0.500 0.500

The following is a DFT calculation (PBE-GGA) of a relaxed structure of Zn3SiN.

Properties
The calculation puts the final energy at -2.26 eV per atom. Its crystal system is cubic. The calculation puts the energy above the most stable polymorph in this dataset at 3.846 eV per formula unit. The total magnetization is 1.5 μB per formula unit. The calculation puts the formation energy (no corrections) at 121.1 kJ/mol of atoms.

Cell lengths 4.694, 4.694, 4.694 Å; angles 90.00, 90.00, 90.00 degrees
Fractional coordinates of all 5 atoms:
Zn: 0.000 0.500 0.000
Zn: 0.000 0.000 0.500
Zn: 0.500 0.000 0.000
Si: 0.000 0.000 0.000
N: 0.500 0.500 0.500

The following is a DFT calculation (PBE-GGA) of a relaxed structure of Y6HoTl2.

Properties
The calculation puts the final energy at -5.45 eV per atom. For the calculated formation energy, the calculation gives -0.109 eV/atom. Its crystal system is monoclinic. The calculation puts the energy above the most stable polymorph in this dataset at 0.517 eV per formula unit. The total magnetization is 0.0 μB per formula unit.

Cell lengths 6.132, 9.630, 9.630 Å; angles 73.43, 85.57, 85.57 degrees
Fractional coordinates of all 18 atoms:
Y: 0.489 0.684 0.429
Y: 0.011 0.571 0.316
Y: 0.511 0.316 0.571
Y: 0.989 0.429 0.684
Y: 0.665 0.099 0.354
Y: 0.835 0.646 0.901
Y: 0.335 0.901 0.646
Y: 0.165 0.354 0.099
Y: 0.312 0.732 0.024
Y: 0.188 0.976 0.268
Y: 0.688 0.268 0.976
Y: 0.812 0.024 0.732
Ho: 0.250 0.100 0.900
Ho: 0.750 0.900 0.100
Tl: 0.414 0.536 0.781
Tl: 0.086 0.219 0.464
Tl: 0.586 0.464 0.219
Tl: 0.914 0.781 0.536

The following is a DFT calculation (PBE-GGA) of a relaxed structure of NiAgSe2.

Properties
The calculation puts the final energy at -4.02 eV per atom. Its crystal system is monoclinic. The calculation puts the energy above the most stable polymorph in this dataset at 0.119 eV per formula unit. The total magnetization is 0.0 μB per formula unit. The calculation puts the formation energy (no corrections) at -11.3 kJ/mol of atoms.

Cell lengths 13.949, 3.475, 7.819 Å; angles 90.00, 124.65, 90.00 degrees
Fractional coordinates of all 16 atoms:
Ni: 0.225 0.990 0.911
Ni: 0.775 0.010 0.089
Ni: 0.275 0.490 0.589
Ni: 0.725 0.510 0.411
Se: 0.854 0.010 0.466
Se: 0.146 0.990 0.534
Se: 0.646 0.510 0.034
Se: 0.354 0.490 0.966
Se: 0.096 0.490 0.878
Se: 0.904 0.510 0.122
Se: 0.404 0.990 0.622
Se: 0.596 0.010 0.378
Ag: 0.648 0.508 0.693
Ag: 0.352 0.492 0.307
Ag: 0.852 0.008 0.807
Ag: 0.148 0.992 0.193

The following is a DFT calculation (PBE-GGA) of a relaxed structure of Zr2NiW.

Properties
The calculation puts the final energy at -8.84 eV per atom. For the calculated formation energy, the calculation gives 0.118 eV/atom. Its crystal system is tetragonal. The calculation puts the energy above the most stable polymorph in this dataset at 0.942 eV per formula unit. The total magnetization is 0.0 μB per formula unit.

Cell lengths 5.350, 5.350, 5.350 Å; angles 136.39, 136.39, 63.38 degrees
Fractional coordinates of all 4 atoms:
Ni: 0.500 0.500 0.000
W: 0.750 0.250 0.500
Zr: 0.000 0.000 0.000
Zr: 0.250 0.750 0.500

The following is a DFT calculation (PBE-GGA) of a relaxed structure of Ca3Hg3Pb4.

Properties
The calculation puts the final energy at -2.47 eV per atom. For the calculated formation energy, the calculation gives -0.293 eV/atom. Its crystal system is cubic. The total magnetization is 0.0 μB per formula unit.

Cell lengths 9.181, 9.181, 9.181 Å; angles 109.47, 109.47, 109.47 degrees
Fractional coordinates of all 20 atoms:
Ca: 0.625 0.750 0.875
Ca: 0.875 0.250 0.625
Ca: 0.125 0.375 0.250
Ca: 0.375 0.125 0.750
Ca: 0.250 0.875 0.125
Ca: 0.750 0.625 0.375
Hg: 0.125 0.750 0.375
Hg: 0.375 0.250 0.125
Hg: 0.625 0.875 0.250
Hg: 0.875 0.625 0.750
Hg: 0.250 0.375 0.625
Hg: 0.750 0.125 0.875
Pb: 0.000 0.000 0.294
Pb: 0.500 0.294 0.500
Pb: 0.706 0.206 0.206
Pb: 0.000 0.000 0.794
Pb: 0.794 0.500 0.000
Pb: 0.500 0.794 0.500
Pb: 0.294 0.500 0.000
Pb: 0.206 0.706 0.706

The following is a DFT calculation (PBE-GGA) of a relaxed structure of TbSm2Te2As2.

Properties
The calculation puts the final energy at -5.21 eV per atom. Its crystal system is tetragonal. The total magnetization is 0.0 μB per formula unit. The calculation puts the formation energy (no corrections) at -93.7 kJ/mol of atoms.

Cell lengths 5.347, 5.347, 8.648 Å; angles 108.01, 108.01, 90.00 degrees
Fractional coordinates of all 7 atoms:
Tb: 0.000 0.000 0.000
Sm: 0.389 0.389 0.778
Sm: 0.611 0.611 0.222
Te: 0.195 0.195 0.390
Te: 0.805 0.805 0.610
As: 0.000 0.500 0.000
As: 0.500 0.000 0.000

The following is a DFT calculation (PBE-GGA) of a relaxed structure of FeReRh2.

Properties
The calculation puts the final energy at -8.91 eV per atom. For the calculated formation energy, the calculation gives -0.010 eV/atom. Its crystal system is monoclinic. The calculation puts the energy above the most stable polymorph in this dataset at 0.288 eV per formula unit. The total magnetization is 2.8 μB per formula unit.

Cell lengths 4.659, 4.659, 4.675 Å; angles 79.66, 79.66, 33.88 degrees
Fractional coordinates of all 4 atoms:
Fe: 0.501 0.501 0.510
Re: 0.248 0.248 0.240
Rh: 0.998 0.998 0.018
Rh: 0.753 0.753 0.731

The following is a DFT calculation (PBE-GGA) of a relaxed structure of CrSbBr2.

Properties
The calculation puts the final energy at -4.19 eV per atom. Its crystal system is tetragonal. The calculation puts the energy above the most stable polymorph in this dataset at 1.031 eV per formula unit. The total magnetization is 4.0 μB per formula unit. The calculation puts the formation energy (no corrections) at 7.7 kJ/mol of atoms.

Cell lengths 3.252, 3.252, 11.920 Å; angles 90.00, 90.00, 90.00 degrees
Fractional coordinates of all 4 atoms:
Br: 0.000 0.000 0.113
Br: 0.000 0.000 0.387
Cr: 0.500 0.500 0.250
Sb: 0.500 0.500 0.750

The following is a DFT calculation (PBE-GGA) of a relaxed structure of Y2SiO.

Properties
The calculation puts the final energy at -7.45 eV per atom. Its crystal system is trigonal. The calculation puts the energy above the most stable polymorph in this dataset at 0.211 eV per formula unit. The total magnetization is 0.0 μB per formula unit. The calculation puts the formation energy (no corrections) at -156.7 kJ/mol of atoms.

Cell lengths 3.708, 3.708, 6.730 Å; angles 74.01, 74.01, 60.00 degrees
Fractional coordinates of all 4 atoms:
Y: 0.261 0.261 0.216
Y: 0.739 0.739 0.784
Si: 0.500 0.500 0.500
O: 0.000 0.000 0.000

The following is a DFT calculation (PBE-GGA) of a relaxed structure of Ni2IN.

Properties
The calculation puts the final energy at -4.10 eV per atom. Its crystal system is cubic. The calculation puts the energy above the most stable polymorph in this dataset at 3.886 eV per formula unit. The total magnetization is 0.0 μB per formula unit. The calculation puts the formation energy (no corrections) at 121.5 kJ/mol of atoms.

Cell lengths 4.215, 4.215, 4.215 Å; angles 60.00, 60.00, 60.00 degrees
Fractional coordinates of all 4 atoms:
I: 0.500 0.500 0.500
Ni: 0.250 0.250 0.250
Ni: 0.750 0.750 0.750
N: 0.000 0.000 0.000

The following is a DFT calculation (PBE-GGA) of a relaxed structure of BaMoCl2.

Properties
The calculation puts the final energy at -4.47 eV per atom. Its crystal system is monoclinic. The calculation puts the energy above the most stable polymorph in this dataset at 0.701 eV per formula unit. The total magnetization is 5.8 μB per formula unit. The calculation puts the formation energy (no corrections) at -34.9 kJ/mol of atoms.

Cell lengths 6.384, 6.384, 4.763 Å; angles 80.35, 80.35, 40.65 degrees
Fractional coordinates of all 4 atoms:
Mo: 0.522 0.522 0.616
Ba: 0.276 0.276 0.189
Cl: 0.971 0.971 0.000
Cl: 0.731 0.731 0.695